First-principles (GGA-PBE) data for Re2SnTe after structural relaxation, as listed in Alexandria via LeMat-Bulk.

Lattice parameters (Å, degrees): 6.2001 6.2001 11.3669 90.00 90.00 90.00
Last column: nearest neighbours and their distance in Å.
Space group I-42d (No. 122)
One atom of each set of equivalent atoms:
Re 0.2404 0.2500 0.1250 [8 per cell]  2 Te 2.58, 2 Sn 2.65
Sn 0.0000 0.0000 0.5000 [4 per cell]  4 Re 2.65
Te 0.0000 0.0000 0.0000 [4 per cell]  4 Re 2.58

Computed properties:
Energy = -103.29 eV per cell
Polymorph energy (0 for the lowest one) = 0.837 eV/atom
Magnetization = 7.46 Bohr magnetons per cell

---

First-principles (GGA-PBE) data for SrLa3Ir after structural relaxation, as listed in Alexandria via LeMat-Bulk.

Lattice parameters (Å, degrees): 5.7844 5.7844 5.7844 90.00 90.00 90.00
Last column: nearest neighbours and their distance in Å.
Space group Pm-3m (No. 221)
One atom of each set of equivalent atoms:
Sr 0.0000 0.0000 0.0000 [1 per cell]  12 La 4.09
La 0.0000 0.5000 0.5000 [3 per cell]  2 Ir 2.89
Ir 0.5000 0.5000 0.5000 [1 per cell]  6 La 2.89

Computed properties:
Energy = -26.93 eV per cell
Polymorph energy (0 for the lowest one) = 0.002 eV/atom
Magnetization = 0.00 Bohr magnetons per cell

---

First-principles (GGA-PBE) data for CuSb2Ir after structural relaxation, as listed in Alexandria via LeMat-Bulk.

Lattice parameters (Å, degrees): 3.0800 3.6475 7.4420 90.00 90.00 90.00
Last column: nearest neighbours and their distance in Å.
Space group Pmm2 (No. 25)
One atom of each set of equivalent atoms:
Cu 0.0000 0.0000 0.0000 [1 per cell]  4 Ir 2.74, 5 Sb 2.78-2.79
Sb 0.0000 0.0000 0.3735 [1 per cell]  1 Cu 2.78, 4 Ir 2.79, 2 Sb 3.08
Sb 0.5000 0.5000 0.8063 [1 per cell]  1 Ir 2.78, 4 Cu 2.79, 2 Sb 3.08
Ir 0.5000 0.5000 0.1796 [1 per cell]  4 Cu 2.74, 5 Sb 2.78-2.79

Computed properties:
Energy = -20.91 eV per cell
Polymorph energy (0 for the lowest one) = 0.047 eV/atom
Magnetization = 0.00 Bohr magnetons per cell

---

First-principles (GGA-PBE) data for CsCrRh after structural relaxation, as listed in Alexandria via LeMat-Bulk.

Lattice parameters (Å, degrees): 4.2204 4.2205 12.2135 89.59 89.91 60.00
Last column: nearest neighbours and their distance in Å.
Space group P-1 (No. 2)
One atom of each set of equivalent atoms:
Cs 0.1645 0.1745 0.2011 [2 per cell]  3 Cr 3.63-3.64, 3 Rh 3.79
Cr 0.4993 0.5019 0.4219 [2 per cell]  1 Cr 1.91
Rh 0.1672 0.1651 0.5610 [2 per cell]  3 Cr 2.45

Computed properties:
Energy = -32.93 eV per cell
Polymorph energy (0 for the lowest one) = 0.000 eV/atom
Magnetization = 0.00 Bohr magnetons per cell